#1
# Li2SbCl (GGA-PBE, relaxed)
data_Li2SbCl
_chemical_formula_sum 'Li4 Sb2 Cl2'
_cell_length_a 3.6443
_cell_length_b 3.6443
_cell_length_c 17.6884
_cell_angle_alpha 90.00
_cell_angle_beta 90.00
_cell_angle_gamma 90.00
_space_group_name_H-M_alt 'I -4 m 2'
_space_group_IT_number 119
_space_group_name_Hall 'I -4 -2'
loop_
_atom_site_label
_atom_site_fract_x
_atom_site_fract_y
_atom_site_fract_z
_atom_site_occupancy
Li1 0.0000 0.0000 0.0000 1
Li2 0.0000 0.5000 0.2500 1
Sb1 0.0000 0.5000 0.7500 1
Cl1 0.0000 0.0000 0.5000 1
# **Mass density**: 2.42 g cm⁻³

#2
# Li2SbCl (GGA-PBE, relaxed)
data_Li2SbCl
_chemical_formula_sum 'Li8 Sb4 Cl4'
_cell_length_a 7.1310
_cell_length_b 7.1310
_cell_length_c 7.1310
_cell_angle_alpha 90.00
_cell_angle_beta 90.00
_cell_angle_gamma 90.00
_space_group_name_H-M_alt 'F m -3 m'
_space_group_IT_number 225
_space_group_name_Hall '-F 4 2 3'
loop_
_atom_site_label
_atom_site_fract_x
_atom_site_fract_y
_atom_site_fract_z
_atom_site_occupancy
Li1 0.2500 0.2500 0.2500 1
Sb1 0.0000 0.0000 0.0000 1
Cl1 0.0000 0.0000 0.5000 1
# **Mass density**: 3.13 g cm⁻³

#1 has the most favorable energy; the next structure is 0.291 eV/atom above.

#1
# LiSb3Cl (GGA-PBE, relaxed)
data_LiSb3Cl
_chemical_formula_sum 'Li1 Sb3 Cl1'
_cell_length_a 5.0386
_cell_length_b 5.0386
_cell_length_c 5.0386
_cell_angle_alpha 90.00
_cell_angle_beta 90.00
_cell_angle_gamma 90.00
_space_group_name_H-M_alt 'P m -3 m'
_space_group_IT_number 221
_space_group_name_Hall '-P 4 2 3'
loop_
_atom_site_label
_atom_site_fract_x
_atom_site_fract_y
_atom_site_fract_z
_atom_site_occupancy
Li1 0.0000 0.0000 0.0000 1
Sb1 0.0000 0.0000 0.5000 1
Cl1 0.5000 0.5000 0.5000 1
# **Mass density**: 5.29 g cm⁻³

#2
# LiSb3Cl (GGA-PBE, relaxed)
data_LiSb3Cl
_chemical_formula_sum 'Li1 Sb3 Cl1'
_cell_length_a 5.4017
_cell_length_b 5.4017
_cell_length_c 5.4017
_cell_angle_alpha 90.00
_cell_angle_beta 90.00
_cell_angle_gamma 90.00
_space_group_name_H-M_alt 'P m -3 m'
_space_group_IT_number 221
_space_group_name_Hall '-P 4 2 3'
loop_
_atom_site_label
_atom_site_fract_x
_atom_site_fract_y
_atom_site_fract_z
_atom_site_occupancy
Li1 0.0000 0.0000 0.0000 1
Sb1 0.0000 0.5000 0.5000 1
Cl1 0.5000 0.5000 0.5000 1
# **Mass density**: 4.30 g cm⁻³

#1 has the most favorable energy; the next structure is 0.280 eV/atom above.

#1
# LiSb2Cl8 (GGA-PBE, relaxed)
data_LiSb2Cl8
_chemical_formula_sum 'Li2 Sb4 Cl16'
_cell_length_a 12.9558
_cell_length_b 7.4722
_cell_length_c 8.0590
_cell_angle_alpha 90.00
_cell_angle_beta 93.18
_cell_angle_gamma 90.00
_space_group_name_H-M_alt 'C 1 2/m 1'
_space_group_IT_number 12
loop_
_space_group_symop_operation_xyz
'x,y,z'
'-x,-y,-z'
'-x,y,-z'
'x,-y,z'
'x+1/2,y+1/2,z'
'-x+1/2,-y+1/2,-z'
'-x+1/2,y+1/2,-z'
'x+1/2,-y+1/2,z'
loop_
_atom_site_label
_atom_site_fract_x
_atom_site_fract_y
_atom_site_fract_z
_atom_site_occupancy
Li1 0.0000 0.0000 0.0000 1
Sb1 0.1279 0.0000 0.3569 1
Cl1 0.0832 0.0000 0.7174 1
Cl2 0.1288 0.2312 0.1480 1
Cl3 0.1872 0.5000 0.5762 1
# **Mass density**: 2.28 g cm⁻³

#2
# LiSb2Cl8 (GGA-PBE, relaxed)
data_LiSb2Cl8
_chemical_formula_sum 'Li2 Sb4 Cl16'
_cell_length_a 12.9576
_cell_length_b 9.1121
_cell_length_c 7.1320
_cell_angle_alpha 90.00
_cell_angle_beta 105.38
_cell_angle_gamma 90.00
_space_group_name_H-M_alt 'C 1 2/m 1'
_space_group_IT_number 12
loop_
_space_group_symop_operation_xyz
'x,y,z'
'-x,-y,-z'
'-x,y,-z'
'x,-y,z'
'x+1/2,y+1/2,z'
'-x+1/2,-y+1/2,-z'
'-x+1/2,y+1/2,-z'
'x+1/2,-y+1/2,z'
loop_
_atom_site_label
_atom_site_fract_x
_atom_site_fract_y
_atom_site_fract_z
_atom_site_occupancy
Li1 0.0000 0.0000 0.0000 1
Sb1 0.1296 0.0000 0.6136 1
Cl1 0.0921 0.2026 0.8112 1
Cl2 0.1674 0.0000 0.2767 1
Cl3 0.1850 0.5000 0.2424 1
# **Mass density**: 2.18 g cm⁻³

#1 has the most favorable energy; the next structure is 0.026 eV/atom above.